Density functional theory data (GGA-PBE) for a geometry-optimized NaB2Ir2 structure.

Summary:
Energy above the most stable polymorph in this dataset, eV/atom: 0.082
Space-group type: C2/m
Total DFT energy (no corrections), eV per atom: -6.71

POSCAR file:
```
NaB2Ir2
1.0
3.761 -0.003 1.201
-0.297 3.825 0.936
0.220 0.639 5.815
Na Ir B
1 2 2
Cartesian
3.982 0.636 7.016 Na
0.828 3.188 3.910 Ir
2.857 1.273 4.043 Ir
1.186 1.452 2.785 B
2.499 3.009 5.167 B
```



Density functional theory data (GGA-PBE) for a geometry-optimized K4Ti2Pd structure.

Summary:
Space-group type: I4/mmm
Total DFT energy (no corrections), eV per atom: -2.69

POSCAR file:
```
K4Ti2Pd
1.0
6.737 0.000 0.000
0.000 6.737 0.000
3.368 3.368 7.896
Ti K Pd
2 4 1
Cartesian
3.368 3.368 1.009 Ti
6.737 6.737 6.888 Ti
0.000 3.368 0.000 K
6.737 6.737 3.057 K
3.368 0.000 0.000 K
3.368 3.368 4.839 K
0.000 0.000 0.000 Pd
```



Density functional theory data (GGA-PBE) for a geometry-optimized PrNdTePb structure.

Summary:
Space-group type: R3m
Formation energy from raw total energies, meV/atom: -1031
Total DFT energy (no corrections), eV per atom: -5.13

POSCAR file:
```
PrNdTePb
1.0
4.564 0.000 0.000
2.282 3.952 0.000
2.282 1.317 7.476
Pb Te Nd Pr
1 1 1 1
Cartesian
6.845 3.952 6.846 Pb
2.282 1.317 3.139 Te
4.564 2.635 5.033 Nd
6.845 3.952 1.211 Pr
```



It is found that the M_tot values, taken in the order of the records, are 0.00; 2.79; 0.00 Bohr magnetons per cell.